GdLuHgOs | GGA-PBE | relaxed

Calculated values
- E_form (kcal/mol of atoms) = -6.0
- crystal system = cubic
- spin magnetization (μB/atom) = 1.78
- SG = No. 216

a b c (Å): 4.991 4.991 4.991
angles (deg): 60.00 60.00 60.00
Element x y z (fractional)
Gd: 0.000 0.000 0.000
Lu: 0.500 0.500 0.500
Hg: 0.750 0.750 0.750
Os: 0.250 0.250 0.250

GdLuHgPb | GGA-PBE | relaxed

Calculated values
- E_form (kcal/mol of atoms) = -10.0
- crystal system = cubic
- spin magnetization (μB/atom) = 1.89
- SG = No. 216

a b c (Å): 5.322 5.322 5.322
angles (deg): 60.00 60.00 60.00
Element x y z (fractional)
Gd: 0.000 0.000 0.000
Lu: 0.500 0.500 0.500
Hg: 0.250 0.250 0.250
Pb: 0.750 0.750 0.750

GdLuHgPd | GGA-PBE | relaxed

Calculated values
- E_form (kcal/mol of atoms) = -14.9
- crystal system = cubic
- spin magnetization (μB/atom) = 1.78
- SG = No. 216

a b c (Å): 5.092 5.092 5.092
angles (deg): 60.00 60.00 60.00
Element x y z (fractional)
Gd: 0.000 0.000 0.000
Lu: 0.500 0.500 0.500
Hg: 0.250 0.250 0.250
Pd: 0.750 0.750 0.750

PmGdLuHg | GGA-PBE | relaxed

Calculated values
- E_form (kcal/mol of atoms) = -2.1
- crystal system = cubic
- spin magnetization (μB/atom) = 1.96
- SG = No. 216

a b c (Å): 5.440 5.440 5.440
angles (deg): 60.00 60.00 60.00
Element x y z (fractional)
Pm: 0.000 0.000 0.000
Gd: 0.500 0.500 0.500
Lu: 0.250 0.250 0.250
Hg: 0.750 0.750 0.750

TbGdLuHg | GGA-PBE | relaxed

Calculated values
- E_form (kcal/mol of atoms) = -1.9
- crystal system = cubic
- spin magnetization (μB/atom) = 1.95
- SG = No. 216

a b c (Å): 5.396 5.396 5.396
angles (deg): 60.00 60.00 60.00
Element x y z (fractional)
Tb: 0.000 0.000 0.000
Gd: 0.500 0.500 0.500
Lu: 0.250 0.250 0.250
Hg: 0.750 0.750 0.750

GdLuTlHg | GGA-PBE | relaxed

Calculated values
- E_form (kcal/mol of atoms) = -9.3
- crystal system = cubic
- spin magnetization (μB/atom) = 1.93
- SG = No. 216

a b c (Å): 5.291 5.291 5.291
angles (deg): 60.00 60.00 60.00
Element x y z (fractional)
Gd: 0.000 0.000 0.000
Lu: 0.500 0.500 0.500
Tl: 0.250 0.250 0.250
Hg: 0.750 0.750 0.750